Here is Ac3Zn2CoO9 after structural relaxation from the Alexandria database. Energies are from GGA+U.

Calculated values
- Fermi-level density of states (states/eV per cell) = 4.093
- VASP energy (eV per atom) = -6.511

Lattice parameters (Å, degrees): 5.608 5.608 6.892 90.00 90.00 120.00
Last column: magnetic moment on the atom in μB.
Fractional coordinates of all 15 atoms:
Ac1 0.333 0.667 0.668  0.00
Ac2 0.000 0.000 0.000  0.00
Ac3 0.667 0.333 0.332  0.00
Zn1 0.333 0.667 0.170  0.02
Zn2 0.667 0.333 0.830  0.02
Co1 0.000 0.000 0.500  1.16
O1 0.840 0.160 0.659  -0.01
O2 0.840 0.680 0.659  -0.01
O3 0.320 0.160 0.659  -0.01
O4 0.680 0.840 0.341  -0.01
O5 0.160 0.320 0.341  -0.01
O6 0.160 0.840 0.341  -0.01
O7 0.500 0.000 0.000  0.09
O8 0.000 0.500 0.000  0.09
O9 0.500 0.500 0.000  0.09

***

Here is Ac3Zn2CoO8 after structural relaxation from the Alexandria database. Energies are from GGA+U.

Calculated values
- Fermi-level density of states (states/eV per cell) = 0.000
- VASP energy (eV per atom) = -6.502

Lattice parameters (Å, degrees): 5.588 5.588 7.260 90.00 90.00 120.00
Fractional coordinates of all 14 atoms:
Ac1 0.333 0.667 0.630
Ac2 0.667 0.333 0.370
Ac3 0.000 0.000 0.000
Zn1 0.333 0.667 0.197
Zn2 0.667 0.333 0.803
Co1 0.000 0.000 0.500
O1 0.333 0.667 0.944
O2 0.667 0.333 0.056
O3 0.157 0.843 0.331
O4 0.843 0.157 0.669
O5 0.157 0.314 0.331
O6 0.843 0.686 0.669
O7 0.686 0.843 0.331
O8 0.314 0.157 0.669

***

Here is Ac2ZnCo2O6 after structural relaxation from the Alexandria database. Energies are from GGA+U.

Calculated values
- Fermi-level density of states (states/eV per cell) = 6.128
- VASP energy (eV per atom) = -6.315

Lattice parameters (Å, degrees): 5.902 5.902 6.269 61.92 61.92 60.00
Last column: magnetic moment on the atom in μB.
Fractional coordinates of all 11 atoms:
Ac1 0.784 0.784 0.648  0.01
Ac2 0.216 0.216 0.352  0.01
Zn1 0.000 0.000 0.000  0.03
Co1 0.429 0.429 0.714  2.46
Co2 0.571 0.571 0.286  2.46
O1 0.757 0.757 0.271  0.13
O2 0.215 0.757 0.271  0.13
O3 0.757 0.215 0.271  0.13
O4 0.243 0.785 0.729  0.13
O5 0.785 0.243 0.729  0.13
O6 0.243 0.243 0.729  0.13

***

Here is Ac3ZnCo2O9 after structural relaxation from the Alexandria database. Energies are from GGA+U.

Calculated values
- Fermi-level density of states (states/eV per cell) = 3.479
- VASP energy (eV per atom) = -6.756

Lattice parameters (Å, degrees): 5.551 5.551 6.801 90.00 90.00 120.00
Last column: magnetic moment on the atom in μB.
Fractional coordinates of all 15 atoms:
Ac1 0.333 0.667 0.670  0.01
Ac2 0.000 0.000 0.000  0.01
Ac3 0.667 0.333 0.330  0.01
Zn1 0.000 0.000 0.500  -0.01
Co1 0.333 0.667 0.166  0.46
Co2 0.667 0.333 0.834  0.46
O1 0.827 0.173 0.675  0.00
O2 0.827 0.653 0.675  0.00
O3 0.347 0.173 0.675  0.00
O4 0.653 0.827 0.325  0.00
O5 0.173 0.347 0.325  0.00
O6 0.173 0.827 0.325  0.00
O7 0.500 0.000 0.000  0.02
O8 0.000 0.500 0.000  0.02
O9 0.500 0.500 0.000  0.02

***

Here is Ac2ZrCoO6 after structural relaxation from the Alexandria database. Energies are from GGA+U.

Calculated values
- Fermi-level density of states (states/eV per cell) = 0.000
- VASP energy (eV per atom) = -8.075

Lattice parameters (Å, degrees): 5.893 5.804 5.892 119.51 120.63 90.00
Last column: magnetic moment on the atom in μB.
Fractional coordinates of all 10 atoms:
Ac1 0.240 0.253 0.507  0.00
Ac2 0.760 0.747 0.493  0.00
Zr1 0.000 0.500 0.000  0.04
Co1 0.500 0.000 0.000  2.71
O1 0.339 0.747 0.494  0.04
O2 0.197 0.199 0.896  0.03
O3 0.803 0.303 0.104  0.03
O4 0.197 0.697 0.896  0.03
O5 0.803 0.801 0.104  0.03
O6 0.661 0.253 0.506  0.04

***

Here is AcZrCo2O6 after structural relaxation from the Alexandria database. Energies are from GGA+U.

Calculated values
- Fermi-level density of states (states/eV per cell) = 7.926
- VASP energy (eV per atom) = -7.431

Lattice parameters (Å, degrees): 5.372 5.372 6.642 66.15 66.15 60.00
Last column: magnetic moment on the atom in μB.
Fractional coordinates of all 10 atoms:
Ac1 0.000 0.000 0.000  0.02
Zr1 0.500 0.500 0.500  0.00
Co1 0.819 0.819 0.542  2.88
Co2 0.181 0.181 0.458  2.88
O1 0.103 0.428 0.689  0.17
O2 0.781 0.103 0.689  0.17
O3 0.572 0.219 0.311  0.17
O4 0.897 0.572 0.311  0.17
O5 0.219 0.897 0.311  0.17
O6 0.428 0.781 0.689  0.17